1.
Computed, not measured: a relaxed Pr2Nd4Tm7 crystal at the GGA-PBE level of DFT.

Cell and atoms, written as POSCAR:
```
Pr2Nd4Tm7
1.0
-2.4397 -3.2655 -4.6515
7.0332 -6.3193 -0.6350
-5.5985 -1.6843 5.5141
Pr Nd Tm
2 4 7
Direct
0.9209 0.3074 0.8460
0.0791 0.6926 0.1540
0.4613 0.1546 0.9227
0.5387 0.8454 0.0773
0.6947 0.2320 0.3854
0.3053 0.7680 0.6146
0.8468 0.6156 0.6893
0.1532 0.3844 0.3107
0.0000 0.0000 0.0000
0.7677 0.9219 0.5392
0.2323 0.0781 0.4608
0.6163 0.5389 0.2337
0.3837 0.4611 0.7663
```

Properties
The value obtained for the energy of formation is 25 meV per atom. As for the space-group type: P-1, No. 2. Its density of states at the Fermi level is 18.853 states/eV per cell. The total energy comes out at -59.6 eV per cell. For the total moment, the calculation gives 0.000 μB/atom.

---

2.
Computed, not measured: a relaxed Tb5Sc2 crystal at the GGA-PBE level of DFT.

Cell and atoms, written as POSCAR:
```
Tb5Sc2
1.0
-3.9438 -3.2559 3.3972
6.8793 -4.3223 3.8436
1.6607 7.3349 3.4097
Tb Sc
10 4
Direct
0.3095 0.4623 0.2754
0.0341 0.0377 0.7246
0.1212 0.6777 0.5675
0.5538 0.8223 0.4325
0.8788 0.3223 0.4325
0.4462 0.1777 0.5675
0.9659 0.9623 0.2754
0.6905 0.5377 0.7246
0.8272 0.2500 0.0000
0.1728 0.7500 0.0000
0.2685 0.3930 0.8610
0.4075 0.1070 0.1390
0.7315 0.6070 0.1390
0.5925 0.8930 0.8610
```

Properties
The value obtained for the energy of formation is 25 meV per atom. As for the space-group type: C2/c, No. 15. Its density of states at the Fermi level is 24.531 states/eV per cell. The value obtained for the energy relative to the lowest polymorph listed for this composition is 0.000 eV/atom. The total energy comes out at -71.3 eV per cell. For the total moment, the calculation gives 0.000 μB/atom.

---

3.
Computed, not measured: a relaxed K4Ho3InO8 crystal at the GGA-PBE level of DFT.

Cell and atoms, written as POSCAR:
```
K4Ho3InO8
1.0
-2.7632 -6.1522 1.3169
0.8460 -1.9012 -7.1067
5.5821 2.0654 3.4334
K Ho In O
4 3 1 8
Direct
0.5000 0.0000 0.0000
0.5000 0.0000 0.5000
0.0000 0.0000 0.0000
0.0000 0.0000 0.5000
0.5000 0.5000 0.0000
0.5000 0.5000 0.5000
0.0000 0.5000 0.5000
0.0000 0.5000 0.0000
0.2286 0.6875 0.9588
0.2286 0.6874 0.4571
0.2721 0.3162 0.5442
0.7302 0.6875 0.9588
0.2698 0.3125 0.0412
0.7279 0.6838 0.4558
0.7714 0.3126 0.5429
0.7714 0.3125 0.0412
```

Properties
As for the space-group type: R-3m, No. 166. Its density of states at the Fermi level is 0.000 states/eV per cell. The calculation puts the raw formation energy at -2.4616 eV per atom. The total energy comes out at -99.9 eV per cell. For the total moment, the calculation gives 0.000 μB/atom.

---

4.
Computed, not measured: a relaxed La6Sb2PbSe3 crystal at the GGA-PBE level of DFT.

Cell and atoms, written as POSCAR:
```
La6Sb2PbSe3
1.0
-4.3896 -0.5451 0.8855
2.0536 -5.2038 6.9774
1.8944 9.1776 3.5497
La Sb Pb Se
6 2 1 3
Direct
0.3309 0.9220 0.6618
0.6647 0.5881 0.3294
0.6691 0.0780 0.3382
0.9979 0.2565 0.9957
0.0021 0.7435 0.0043
0.3353 0.4119 0.6706
0.8329 0.6662 0.6658
0.1671 0.3338 0.3342
0.5000 0.0000 0.0000
0.5000 0.5000 0.0000
0.8329 0.1675 0.6658
0.1671 0.8325 0.3342
```

Properties
As for the space-group type: C2/m, No. 12. Its density of states at the Fermi level is 5.162 states/eV per cell. The calculation puts the raw formation energy at -1.5214 eV per atom. The total energy comes out at -70.2 eV per cell. For the total moment, the calculation gives 0.000 μB/atom.

---

5.
Computed, not measured: a relaxed Na3Pr2YTe6 crystal at the GGA-PBE level of DFT.

Cell and atoms, written as POSCAR:
```
Na3Pr2YTe6
1.0
-1.7452 -2.2367 -7.3147
-4.4101 -2.4461 6.0101
-2.3979 7.6392 -0.3596
Na Pr Y Te
3 2 1 6
Direct
0.1691 0.8309 0.5000
0.8309 0.1691 0.5000
0.5000 0.5000 0.5000
0.3337 0.6663 0.0000
0.6663 0.3337 0.0000
0.0000 0.0000 0.0000
0.9208 0.5961 0.7620
0.7551 0.7551 0.2378
0.0792 0.4039 0.2380
0.5961 0.9208 0.7620
0.2449 0.2449 0.7622
0.4039 0.0792 0.2380
```

Properties
As for the space-group type: C2/m, No. 12. The calculation puts the raw formation energy at -1.3282 eV per atom. The total energy comes out at -54.8 eV per cell. For the total moment, the calculation gives 0.000 μB/atom.

---

6.
Computed, not measured: a relaxed TmCuS2 crystal at the GGA-PBE level of DFT.

Cell and atoms, written as POSCAR:
```
TmCuS2
1.0
6.3063 0.0031 0.0000
-0.8155 6.6475 0.0000
0.0000 0.0000 6.9341
Tm Cu S
4 4 8
Direct
0.8055 0.1992 0.9531
0.1945 0.3008 0.4531
0.1945 0.8008 0.0469
0.8055 0.6992 0.5469
0.4170 0.9515 0.6614
0.5830 0.0485 0.3386
0.5830 0.5485 0.1614
0.4170 0.4515 0.8386
0.0688 0.9968 0.7271
0.9312 0.5032 0.2271
0.9312 0.0032 0.2729
0.0688 0.4968 0.7729
0.4069 0.2173 0.1131
0.4069 0.7173 0.3869
0.5931 0.7827 0.8869
0.5931 0.2827 0.6131
```

Properties
As for the space-group type: P2_1/c, No. 14. The calculation puts the raw formation energy at -1.3536 eV per atom. The total energy comes out at -88.9 eV per cell. For the total moment, the calculation gives 0.000 μB/atom.

---

7.
Computed, not measured: a relaxed Mn2CrGa crystal at the GGA-PBE level of DFT.

Cell and atoms, written as POSCAR:
```
Mn2CrGa
1.0
-6.4813 0.2122 1.2445
-0.8855 -5.4034 -3.6905
-3.3344 -4.0655 0.8454
Cr Mn Ga
2 4 2
Direct
0.5000 0.5000 0.0000
0.2500 0.7500 0.5000
0.5870 0.1250 0.2500
0.1630 0.6250 0.2500
0.3750 0.4130 0.7500
0.8750 0.8370 0.7500
0.0000 0.0000 0.0000
0.7500 0.2500 0.5000
```

Properties
The value obtained for the energy of formation is 445 meV per atom. As for the space-group type: I-42d, No. 122. Its density of states at the Fermi level is 6.091 states/eV per cell. The total energy comes out at -58.4 eV per cell. For the total moment, the calculation gives 0.760 μB/atom.

---

8.
Computed, not measured: a relaxed LaSm6Y12 crystal at the GGA-PBE level of DFT.

Cell and atoms, written as POSCAR:
```
LaSm6Y12
1.0
8.3942 0.0000 2.6910
-4.1808 7.8450 3.4161
0.0327 0.0000 9.5232
La Sm Y
1 6 12
Direct
0.0000 0.0000 0.0000
0.4217 0.4744 0.2096
0.0526 0.6840 0.5256
0.3686 0.7904 0.6840
0.5783 0.5256 0.7904
0.9474 0.3160 0.4744
0.6314 0.2096 0.3160
0.5245 0.8416 0.2644
0.6829 0.8940 0.8416
0.7889 0.2644 0.8940
0.4755 0.1584 0.7356
0.3171 0.1060 0.1584
0.2111 0.7356 0.1060
0.2631 0.4220 0.6305
0.1064 0.3695 0.0525
0.1589 0.0525 0.5780
0.7369 0.5780 0.3695
0.8936 0.6305 0.9475
0.8411 0.9475 0.4220
```

Properties
The value obtained for the energy of formation is 20 meV per atom. As for the space-group type: R-3, No. 148. Its density of states at the Fermi level is 27.864 states/eV per cell. The value obtained for the energy relative to the lowest polymorph listed for this composition is 0.000 eV/atom. The total energy comes out at -110.4 eV per cell. For the total moment, the calculation gives 0.000 μB/atom.

---

9.
Computed, not measured: a relaxed Rb3Ac3SiO8 crystal at the GGA-PBE level of DFT.

Cell and atoms, written as POSCAR:
```
Rb3Ac3SiO8
1.0
7.2475 0.0005 -0.0001
-3.6234 6.2784 -0.0247
-0.0004 -4.1607 6.6866
Rb Ac Si O
3 3 1 8
Direct
0.0000 0.0000 0.0000
0.0000 0.5000 0.0000
0.5000 0.5000 0.0000
0.5000 0.0000 0.5000
0.5000 0.5000 0.5000
0.0000 0.5000 0.5000
0.0000 0.0000 0.5000
0.2693 0.5385 0.3078
0.7307 0.4615 0.6922
0.8181 0.6361 0.3449
0.1819 0.3639 0.6551
0.8178 0.0266 0.3446
0.1822 0.9734 0.6554
0.2088 0.0267 0.3447
0.7912 0.9733 0.6553
```

Properties
As for the space-group type: R-3m, No. 166. The calculation puts the raw formation energy at -2.3584 eV per atom. The total energy comes out at -95.7 eV per cell. For the total moment, the calculation gives 0.000 μB/atom.

---

10.
Computed, not measured: a relaxed Sc3AgO crystal at the GGA-PBE level of DFT.

Cell and atoms, written as POSCAR:
```
Sc3AgO
1.0
-2.6684 -1.9889 -1.2333
1.7396 -0.9854 2.9326
-11.6404 9.3808 10.0570
Sc O Ag
6 2 2
Direct
0.0000 0.0000 0.2500
0.0000 0.0000 0.7500
0.3333 0.6667 0.8848
0.3333 0.6667 0.6152
0.6667 0.3333 0.3848
0.6667 0.3333 0.1152
0.3333 0.6667 0.7500
0.6667 0.3333 0.2500
0.0000 0.0000 0.0000
0.0000 0.0000 0.5000
```

Properties
As for the space-group type: P6_3/mmc, No. 194. Its density of states at the Fermi level is 9.705 states/eV per cell. The value obtained for the energy relative to the lowest polymorph listed for this composition is 0.254 eV/atom. The calculation puts the raw formation energy at -1.1131 eV per atom. The total energy comes out at -64.7 eV per cell. For the total moment, the calculation gives 0.000 μB/atom.

---

11.
Computed, not measured: a relaxed KLaRu2 crystal at the GGA-PBE level of DFT.

Cell and atoms, written as POSCAR:
```
KLaRu2
1.0
-0.8985 4.7183 2.6691
0.7657 -0.5582 5.4126
3.0396 -1.3203 -4.3831
K La Ru
1 1 2
Direct
0.2500 0.7500 0.5000
0.7500 0.2500 0.5000
0.0000 0.0000 0.0000
0.5000 0.5000 0.0000
```

Properties
The value obtained for the energy of formation is 948 meV per atom. As for the space-group type: I4/mmm, No. 139. Its density of states at the Fermi level is 5.040 states/eV per cell. The value obtained for the energy relative to the lowest polymorph listed for this composition is 0.662 eV/atom. The total energy comes out at -20.8 eV per cell. For the total moment, the calculation gives 0.456 μB/atom.

---

12.
Computed, not measured: a relaxed TbNd12Dy6 crystal at the GGA-PBE level of DFT.

Cell and atoms, written as POSCAR:
```
TbNd12Dy6
1.0
-7.0031 -1.9922 4.7479
-0.2653 -7.9759 -3.4453
5.0142 -3.1002 6.3876
Tb Nd Dy
1 12 6
Direct
0.0000 0.0000 0.0000
0.7809 0.5364 0.4332
0.4332 0.7809 0.5364
0.5364 0.4332 0.7809
0.2191 0.4636 0.5668
0.5668 0.2191 0.4636
0.4636 0.5668 0.2191
0.0177 0.1945 0.3624
0.8055 0.6376 0.9823
0.6376 0.9823 0.8055
0.9823 0.8055 0.6376
0.1945 0.3624 0.0177
0.3624 0.0177 0.1945
0.7407 0.9014 0.2977
0.7023 0.2593 0.0986
0.0986 0.7023 0.2593
0.2593 0.0986 0.7023
0.2977 0.7407 0.9014
0.9014 0.2977 0.7407
```

Properties
The value obtained for the energy of formation is 132 meV per atom. As for the space-group type: R-3, No. 148. Its density of states at the Fermi level is 31.847 states/eV per cell. The value obtained for the energy relative to the lowest polymorph listed for this composition is 0.117 eV/atom. The total energy comes out at -86.9 eV per cell. For the total moment, the calculation gives 0.000 μB/atom.

---

Copy entry 2 word for word.
Computed, not measured: a relaxed Tb5Sc2 crystal at the GGA-PBE level of DFT.

Cell and atoms, written as POSCAR:
```
Tb5Sc2
1.0
-3.9438 -3.2559 3.3972
6.8793 -4.3223 3.8436
1.6607 7.3349 3.4097
Tb Sc
10 4
Direct
0.3095 0.4623 0.2754
0.0341 0.0377 0.7246
0.1212 0.6777 0.5675
0.5538 0.8223 0.4325
0.8788 0.3223 0.4325
0.4462 0.1777 0.5675
0.9659 0.9623 0.2754
0.6905 0.5377 0.7246
0.8272 0.2500 0.0000
0.1728 0.7500 0.0000
0.2685 0.3930 0.8610
0.4075 0.1070 0.1390
0.7315 0.6070 0.1390
0.5925 0.8930 0.8610
```

Properties
The value obtained for the energy of formation is 25 meV per atom. As for the space-group type: C2/c, No. 15. Its density of states at the Fermi level is 24.531 states/eV per cell. The value obtained for the energy relative to the lowest polymorph listed for this composition is 0.000 eV/atom. The total energy comes out at -71.3 eV per cell. For the total moment, the calculation gives 0.000 μB/atom.